Entry 1
This record from Alexandria describes a geometry-optimized KNdSe2O8 structure. The functional is PBE-GGA.

abc: 5.7444 5.7444 8.1266
angles: 90.00 90.00 120.00
Atoms (fractional coordinates):
K1 0.0000 0.0000 0.0000
Nd1 0.0000 0.0000 0.5000
Se1 0.3333 0.6667 0.7589
Se2 0.6667 0.3333 0.2411
O1 0.1274 0.3568 0.6849
O2 0.2293 0.8726 0.6849
O3 0.3333 0.6667 0.9606
O4 0.3568 0.2293 0.3151
O5 0.6432 0.7707 0.6849
O6 0.6667 0.3333 0.0394
O7 0.7707 0.1274 0.3151
O8 0.8726 0.6432 0.3151

Computed properties:
density of states at the Fermi level = 0.00 states/eV/cell
ρ = 3.355 g/cm³

=====

Entry 2
This record from Alexandria describes a geometry-optimized KNdSe2O8 structure. The functional is PBE-GGA.

abc: 9.0120 7.4578 11.1866
angles: 90.00 91.57 90.00
Atoms (fractional coordinates):
K1 0.0639 0.1454 0.3430
K2 0.0639 0.3546 0.8430
K3 0.9361 0.6454 0.1570
K4 0.9361 0.8546 0.6570
Nd1 0.4442 0.6652 0.6517
Nd2 0.4442 0.8348 0.1517
Nd3 0.5558 0.1652 0.8483
Nd4 0.5558 0.3348 0.3483
Se1 0.2232 0.6579 0.4105
Se2 0.2232 0.8421 0.9105
Se3 0.3142 0.1640 0.6077
Se4 0.3142 0.3360 0.1077
Se5 0.6858 0.6640 0.8923
Se6 0.6858 0.8360 0.3923
Se7 0.7768 0.1579 0.0895
Se8 0.7768 0.3421 0.5895
O1 0.0918 0.5214 0.3630
O2 0.0918 0.9786 0.8630
O3 0.1325 0.1488 0.6014
O4 0.1325 0.3512 0.1014
O5 0.1990 0.7468 0.0450
O6 0.1990 0.7532 0.5450
O7 0.2561 0.6813 0.8091
O8 0.2561 0.8187 0.3091
O9 0.3674 0.1594 0.1957
O10 0.3674 0.3406 0.6957
O11 0.3818 0.1672 0.4707
O12 0.3818 0.3328 0.9707
O13 0.3837 0.5471 0.4458
O14 0.3837 0.9529 0.9458
O15 0.4008 0.5015 0.1880
O16 0.4008 0.9985 0.6880
O17 0.5992 0.0015 0.3120
O18 0.5992 0.4985 0.8120
O19 0.6163 0.0471 0.0542
O20 0.6163 0.4529 0.5542
O21 0.6182 0.6672 0.0293
O22 0.6182 0.8328 0.5293
O23 0.6326 0.6594 0.3043
O24 0.6326 0.8406 0.8043
O25 0.7439 0.1813 0.6909
O26 0.7439 0.3187 0.1909
O27 0.8010 0.2468 0.4550
O28 0.8010 0.2532 0.9550
O29 0.8675 0.6488 0.8986
O30 0.8675 0.8512 0.3986
O31 0.9082 0.0214 0.1370
O32 0.9082 0.4786 0.6370

Computed properties:
density of states at the Fermi level = 0.00 states/eV/cell
ρ = 4.147 g/cm³

=====

Most stable = entry 2

=====

Entry 1
This record from Alexandria describes a geometry-optimized KNdPb2 structure. The functional is PBE-GGA.

abc: 5.8990 5.8990 3.7635
angles: 90.00 90.00 90.00
Atoms (fractional coordinates):
K1 0.0000 0.0000 0.0000
Nd1 0.5000 0.5000 0.0000
Pb1 0.0000 0.5000 0.5000
Pb2 0.5000 0.0000 0.5000

Computed properties:
density of states at the Fermi level = 2.84 states/eV/cell
ρ = 7.579 g/cm³

=====

Entry 2
This record from Alexandria describes a geometry-optimized KNdPb2 structure. The functional is PBE-GGA.

abc: 11.4587 11.4587 11.4587
angles: 18.86 18.86 18.86
Atoms (fractional coordinates):
K1 0.0000 0.0000 0.0000
Nd1 0.5000 0.5000 0.5000
Pb1 0.2454 0.2454 0.2454
Pb2 0.7546 0.7546 0.7546

Computed properties:
density of states at the Fermi level = 3.69 states/eV/cell
ρ = 7.225 g/cm³

=====

Entry 3
This record from Alexandria describes a geometry-optimized KNdPb2 structure. The functional is PBE-GGA.

abc: 4.2404 4.2404 7.9957
angles: 90.00 90.00 90.00
Atoms (fractional coordinates):
K1 0.0000 0.0000 0.0000
Nd1 0.0000 0.0000 0.5000
Pb1 0.5000 0.5000 0.3026
Pb2 0.5000 0.5000 0.6974

Computed properties:
density of states at the Fermi level = 3.55 states/eV/cell
ρ = 6.904 g/cm³

=====

Most stable = entry 3

=====

Entry 1
This record from Alexandria describes a geometry-optimized KNdTl2 structure. The functional is PBE-GGA.

abc: 5.6618 5.6618 5.6618
angles: 60.00 60.00 60.00
Atoms (fractional coordinates):
K1 0.0000 0.0000 0.0000
Nd1 0.5000 0.5000 0.5000
Tl1 0.2500 0.2500 0.2500
Tl2 0.7500 0.7500 0.7500

Computed properties:
density of states at the Fermi level = 1.96 states/eV/cell
ρ = 7.661 g/cm³

=====

Entry 2
This record from Alexandria describes a geometry-optimized KNdTl2 structure. The functional is PBE-GGA.

abc: 3.9627 3.9627 8.6678
angles: 90.00 90.00 90.00
Atoms (fractional coordinates):
K1 0.0000 0.0000 0.0000
Nd1 0.0000 0.0000 0.5000
Tl1 0.5000 0.5000 0.2891
Tl2 0.5000 0.5000 0.7109

Computed properties:
density of states at the Fermi level = 2.94 states/eV/cell
ρ = 7.224 g/cm³

=====

Entry 3
This record from Alexandria describes a geometry-optimized KNdTl2 structure. The functional is PBE-GGA.

abc: 11.1296 11.1296 11.1296
angles: 19.95 19.95 19.95
Atoms (fractional coordinates):
K1 0.0000 0.0000 0.0000
Nd1 0.5000 0.5000 0.5000
Tl1 0.2440 0.2440 0.2440
Tl2 0.7560 0.7560 0.7560

Computed properties:
density of states at the Fermi level = 4.01 states/eV/cell
ρ = 7.005 g/cm³

=====

Most stable = entry 2

=====

Entry 1
This record from Alexandria describes a geometry-optimized K5Ni structure. The functional is PBE-GGA.

abc: 9.2083 9.2083 5.9692
angles: 90.00 90.00 142.41
Atoms (fractional coordinates):
K1 0.0000 0.0000 0.0000
K2 0.1423 0.8577 0.5000
K3 0.3560 0.6440 0.0000
K4 0.6440 0.3560 0.0000
K5 0.8577 0.1423 0.5000
Ni1 0.5000 0.5000 0.5000

Computed properties:
density of states at the Fermi level = 13.37 states/eV/cell
ρ = 1.367 g/cm³

=====

Entry 2
This record from Alexandria describes a geometry-optimized K5Ni structure. The functional is PBE-GGA.

abc: 7.9062 7.9062 7.9062
angles: 60.00 60.00 60.00
Atoms (fractional coordinates):
K1 0.0000 0.0000 0.0000
K2 0.3765 0.3765 0.3765
K3 0.3765 0.3765 0.8706
K4 0.3765 0.8706 0.3765
K5 0.8706 0.3765 0.3765
Ni1 0.7500 0.7500 0.7500

Computed properties:
density of states at the Fermi level = 14.15 states/eV/cell
ρ = 1.208 g/cm³

=====

Entry 3
This record from Alexandria describes a geometry-optimized K5Ni structure. The functional is PBE-GGA.

abc: 6.6008 11.2871 11.2871
angles: 23.79 90.00 90.00
Atoms (fractional coordinates):
K1 0.0000 0.0000 0.0000
K2 0.0000 0.2182 0.2182
K3 0.5000 0.0825 0.0825
K4 0.5000 0.3955 0.3955
K5 0.5000 0.7248 0.7248
Ni1 0.0000 0.6147 0.6147

Computed properties:
density of states at the Fermi level = 11.79 states/eV/cell
ρ = 1.244 g/cm³

=====

Most stable = entry 3